First-principles (PBE-GGA) data for a geometry-optimized PrYCu3 structure, as listed in Alexandria via LeMat-Bulk.

Unit cell a=3.787 b=4.308 c=13.010 alpha=90.00 beta=98.37 gamma=90.00
Atoms (fractional coordinates):
Pr (0.928, 0.750, 0.856)
Pr (0.072, 0.250, 0.144)
Y (0.205, 0.750, 0.410)
Y (0.795, 0.250, 0.590)
Cu (0.620, 0.750, 0.240)
Cu (0.380, 0.250, 0.760)
Cu (0.524, 0.750, 0.048)
Cu (0.476, 0.250, 0.952)
Cu (0.674, 0.250, 0.348)
Cu (0.326, 0.750, 0.652)

Output
- DOS at the Fermi energy (states/eV per cell) = 7.6
- ΔH_f (0 K) (eV/atom) = -0.216
- magnetization (μB per formula unit) = 0.00